20
Lattice="9.291 -2.003 -1.932 1.341 8.689 -2.586 1.341 -2.275 8.775" Properties=species:S:1:pos:R:3 comment="AcTbY3 (PBE, optimized geometry)" e_tot_ev_per_atom=-5.485 spacegroup="C2/c (15)" de_polymorph_ev_per_atom=0.095 pbc="T T T"
Ac 8.309 0.917 2.462
Ac 3.664 -2.749 8.265
Ac 8.309 7.161 -4.009
Ac 3.664 3.494 1.795
Tb 6.094 1.977 -0.349
Tb 1.449 0.723 2.954
Tb 10.524 3.689 1.302
Tb 5.879 2.434 4.606
Y 4.813 0.036 2.355
Y 6.627 -0.979 5.161
Y 9.458 1.353 -1.014
Y 2.515 3.058 5.271
Y 8.811 6.166 -0.570
Y 1.981 6.124 -0.196
Y 7.160 4.375 1.902
Y 9.992 -1.712 4.453
Y 5.347 5.390 -0.904
Y 4.165 0.651 7.148
Y 3.163 -1.754 4.827
Y 7.808 3.760 -2.892

=====

5
Lattice="-0.273 1.596 -4.291 -4.259 -1.665 -0.348 -1.369 3.232 1.289" Properties=species:S:1:pos:R:3 comment="Zr2VTcN (PBE, optimized geometry)" formation_energy_uncorrected_ev_per_atom=-0.6826 e_tot_ev_per_atom=-9.664 spacegroup="P4/mmm (123)" pbc="T T T"
N 0.000 0.000 0.000
Tc -2.951 1.581 -1.675
Zr -2.130 -0.833 -0.174
Zr -0.137 0.798 -2.146
V -0.684 1.616 0.644

=====

18
Lattice="8.471 0.196 0.139 4.353 7.269 0.139 4.353 2.534 6.815" Properties=species:S:1:pos:R:3 comment="Cs2Ca3PuF12 (PBE, optimized geometry)" formation_energy_uncorrected_ev_per_atom=-3.5283 e_tot_ev_per_atom=-6.001 spacegroup="R-3m (166)" pbc="T T T"
Cs 10.157 5.912 4.193
Cs 7.021 4.087 2.899
Ca 4.235 0.098 0.069
Ca 2.177 3.635 0.069
Ca 2.177 1.267 3.407
Pu 0.000 0.000 0.000
F 8.166 4.754 6.339
F 13.318 7.752 2.354
F 10.738 9.218 6.538
F 10.601 3.371 2.391
F 13.318 4.785 6.538
F 8.166 7.554 2.391
F 9.011 5.245 0.753
F 3.859 2.246 4.738
F 6.440 0.781 0.554
F 6.576 6.628 4.701
F 3.859 5.214 0.554
F 9.011 2.445 4.701